1.
Density functional theory data (PBE) for La7Tb2Sm2 after structural relaxation.

extended XYZ file:
```
11
Lattice="5.800 -5.820 0.000 5.800 5.820 0.000 -2.283 0.000 5.807" Properties=species:S:1:pos:R:3 pbc="T T T"
La 0.000 0.000 0.000
La 1.789 3.122 4.756
La 7.528 3.122 1.050
La 4.478 0.000 1.149
La 4.840 0.000 4.658
La 1.789 -3.122 4.756
La 7.528 -3.122 1.050
Tb 4.659 3.343 2.903
Tb 4.659 -3.343 2.903
Sm 1.285 0.000 3.436
Sm 8.033 0.000 2.371
```

* DFT formation energy: 11.0 kJ/mol of atoms

---

2.
Density functional theory data (PBE) for LaTb3Sm3Te8 after structural relaxation.

extended XYZ file:
```
15
Lattice="4.404 2.543 7.190 -4.404 2.543 7.190 0.000 -5.085 7.190" Properties=species:S:1:pos:R:3 pbc="T T T"
La 0.000 0.000 0.000
Tb -2.202 -1.271 7.190
Tb -2.202 1.271 14.380
Tb 0.000 2.543 7.190
Sm -4.404 0.000 10.785
Sm -2.202 1.271 3.595
Sm 2.202 1.271 3.595
Te 0.000 0.000 5.433
Te 0.000 -2.404 9.044
Te -2.082 1.202 9.044
Te -2.082 -1.202 12.526
Te 2.082 1.202 9.044
Te 2.082 -1.202 12.526
Te 0.000 2.404 12.526
Te 0.000 0.000 16.137
```

* ΔE_f (raw): -1.4275 eV per atom

---

3.
Density functional theory data (PBE) for La4Tb3SmTe8 after structural relaxation.

extended XYZ file:
```
16
Lattice="4.480 2.586 7.349 -4.480 2.586 7.349 0.000 -5.173 7.349" Properties=species:S:1:pos:R:3 pbc="T T T"
La 0.000 0.000 0.000
La -2.240 -1.293 7.349
La -2.240 1.293 14.697
La 0.000 2.586 7.349
Tb -4.480 0.000 11.023
Tb -2.240 1.293 3.674
Tb 2.240 1.293 3.674
Sm 0.000 0.000 11.023
Te -2.259 -1.304 12.761
Te 0.000 0.000 5.398
Te 0.000 -2.609 9.284
Te -2.259 1.304 9.284
Te 2.259 -1.304 12.761
Te 0.000 2.609 12.761
Te 0.000 0.000 16.648
Te 2.259 1.304 9.284
```

* ΔE_f (raw): -1.4633 eV per atom

---

4.
Density functional theory data (PBE) for La3Tb2SmTe6 after structural relaxation.

extended XYZ file:
```
12
Lattice="9.789 -2.235 0.000 9.789 2.235 0.000 -2.126 0.000 8.770" Properties=species:S:1:pos:R:3 pbc="T T T"
La 0.000 0.000 0.000
La 5.141 0.000 5.854
La 12.311 0.000 2.916
Tb 6.181 0.000 1.475
Tb 11.271 0.000 7.295
Sm -1.063 0.000 4.385
Te 1.982 0.000 5.196
Te 3.178 0.000 0.652
Te 9.170 0.000 2.228
Te 8.282 0.000 6.542
Te 14.274 0.000 8.118
Te 15.470 0.000 3.574
```

* ΔE_f (raw): -1.4698 eV per atom

---

5.
Density functional theory data (PBE) for La2TbSmTe5 after structural relaxation.

extended XYZ file:
```
9
Lattice="5.536 0.000 0.000 0.000 5.536 0.000 0.000 0.000 11.720" Properties=species:S:1:pos:R:3 pbc="T T T"
La 0.000 0.000 1.995
La 0.000 0.000 9.725
Tb 2.768 2.768 0.000
Sm 2.768 2.768 5.860
Te 0.000 0.000 5.860
Te 0.000 2.768 0.000
Te 2.768 0.000 0.000
Te 2.768 2.768 2.961
Te 2.768 2.768 8.759
```

* ΔE_f (raw): -0.9618 eV per atom

---

6.
Density functional theory data (PBE) for La3TbSm3Te8 after structural relaxation.

extended XYZ file:
```
15
Lattice="4.475 2.584 7.391 -4.475 2.584 7.391 0.000 -5.167 7.391" Properties=species:S:1:pos:R:3 pbc="T T T"
La -2.238 -1.292 7.391
La -2.238 1.292 14.782
La 0.000 2.584 7.391
Tb 0.000 0.000 11.086
Sm -4.475 0.000 11.086
Sm -2.238 1.292 3.695
Sm 2.238 1.292 3.695
Te -2.257 -1.303 12.884
Te 0.000 0.000 5.479
Te 0.000 -2.606 9.288
Te -2.257 1.303 9.288
Te 2.257 -1.303 12.884
Te 0.000 2.606 12.884
Te 0.000 0.000 16.694
Te 2.257 1.303 9.288
```

* ΔE_f (raw): -1.5059 eV per atom

---

7.
Density functional theory data (PBE) for La4TbSm2Th after structural relaxation.

extended XYZ file:
```
8
Lattice="5.184 0.000 0.000 0.000 5.201 0.000 0.000 0.000 10.341" Properties=species:S:1:pos:R:3 pbc="T T T"
La 0.000 0.000 2.547
La 0.000 0.000 7.794
La 2.592 2.600 2.553
La 2.592 2.600 7.789
Tb 2.592 0.000 5.171
Sm 0.000 2.600 5.171
Sm 2.592 0.000 0.000
Th 0.000 2.600 0.000
```

* DFT formation energy: 3.8 kJ/mol of atoms

---

8.
Density functional theory data (PBE) for La2TbSm5Th after structural relaxation.

extended XYZ file:
```
18
Lattice="2.868 -10.239 0.000 2.868 10.239 0.000 0.000 0.000 10.671" Properties=species:S:1:pos:R:3 pbc="T T T"
La 2.868 7.864 5.336
La 2.868 7.845 0.943
La 2.868 -7.845 6.279
La 2.868 -7.864 0.000
Tb 2.868 1.887 2.407
Tb 2.868 -1.887 7.743
Sm 2.868 9.903 8.439
Sm 2.868 4.579 0.882
Sm 2.868 4.177 5.055
Sm 2.868 2.275 8.473
Sm 2.868 0.406 5.450
Sm 2.868 -0.406 0.114
Sm 2.868 -2.275 3.137
Sm 2.868 -4.177 10.390
Sm 2.868 -4.579 6.218
Sm 2.868 -9.903 3.103
Th 2.868 6.146 8.326
Th 2.868 -6.146 2.990
```

* DFT formation energy: 14.2 kJ/mol of atoms

---

9.
Density functional theory data (PBE) for La2Tb3Sm6Th after structural relaxation.

extended XYZ file:
```
12
Lattice="3.146 -5.446 0.000 3.146 5.446 0.000 -2.099 0.000 11.831" Properties=species:S:1:pos:R:3 pbc="T T T"
La 3.146 3.631 0.000
La 3.146 -3.631 0.000
Tb -1.050 0.000 5.915
Tb 2.097 1.815 5.915
Tb 2.097 -1.815 5.915
Sm 0.010 1.788 8.850
Sm 1.084 0.000 2.979
Sm 0.010 -1.788 8.850
Sm 4.183 1.788 2.981
Sm 3.109 0.000 8.852
Sm 4.183 -1.788 2.981
Th 3.146 0.000 0.000
```

* DFT formation energy: 3.0 kJ/mol of atoms

---

10.
Density functional theory data (PBE) for LaTb3SmTh after structural relaxation.

extended XYZ file:
```
12
Lattice="8.055 0.000 0.000 0.000 5.111 0.000 -3.182 0.000 9.687" Properties=species:S:1:pos:R:3 pbc="T T T"
La 0.467 1.278 2.855
La 4.406 3.833 6.832
Tb 1.231 3.833 0.422
Tb -1.136 1.278 7.670
Tb -0.307 3.833 5.266
Tb 5.180 1.278 4.421
Tb 6.009 3.833 2.016
Tb 3.642 1.278 9.265
Sm 1.237 3.833 8.430
Sm 3.636 1.278 1.257
Th 2.053 1.278 6.024
Th 2.820 3.833 3.662
```

* DFT formation energy: 3.3 kJ/mol of atoms

---

11.
Density functional theory data (PBE) for La2TbSmTh after structural relaxation.

extended XYZ file:
```
10
Lattice="6.399 0.000 0.000 0.000 8.524 0.000 -1.407 0.000 6.487" Properties=species:S:1:pos:R:3 pbc="T T T"
La 1.161 1.486 1.073
La 0.457 7.038 4.316
La 4.535 1.486 2.171
La 3.831 7.038 5.415
Tb 2.144 1.386 4.865
Tb 2.848 7.139 1.622
Sm -1.055 3.419 4.865
Sm -0.352 5.106 1.622
Th 3.199 4.262 0.000
Th 2.496 4.262 3.244
```

* DFT formation energy: 21.0 kJ/mol of atoms

---

12.
Density functional theory data (PBE) for La6TbSmTh2 after structural relaxation.

extended XYZ file:
```
20
Lattice="4.559 -7.483 0.000 4.559 7.483 0.000 -2.914 0.000 10.398" Properties=species:S:1:pos:R:3 pbc="T T T"
La 2.142 4.174 1.747
La 2.286 4.749 5.653
La 2.461 4.749 9.944
La 2.621 1.450 3.989
La 5.519 4.174 3.452
La 5.040 1.450 1.210
La 1.164 -1.450 9.188
La 0.685 -4.174 6.946
La 3.583 -1.450 6.409
La 3.743 -4.749 0.454
La 3.918 -4.749 4.745
La 4.062 -4.174 8.651
Tb 2.373 1.485 7.798
Tb 3.830 -1.485 2.599
Sm 3.830 7.377 2.599
Sm 2.373 -7.377 7.798
Th 1.867 0.570 0.474
Th 0.410 -0.570 5.673
Th 5.794 0.570 4.725
Th 4.337 -0.570 9.924
```

* DFT formation energy: 12.7 kJ/mol of atoms

---

13.
Density functional theory data (PBE) for LaTb5Sm2Th after structural relaxation.

extended XYZ file:
```
18
Lattice="2.837 -10.022 0.000 2.837 10.022 0.000 0.000 0.000 10.589" Properties=species:S:1:pos:R:3 pbc="T T T"
La 2.837 8.318 5.294
La 2.837 -8.318 0.000
Tb 2.837 9.611 8.344
Tb 2.837 7.746 0.801
Tb 2.837 5.928 8.045
Tb 2.837 5.554 3.903
Tb 2.837 0.329 0.817
Tb 2.837 -0.329 6.111
Tb 2.837 -5.554 9.198
Tb 2.837 -5.928 2.750
Tb 2.837 -7.746 6.096
Tb 2.837 -9.611 3.050
Sm 2.837 2.295 8.284
Sm 2.837 2.277 3.923
Sm 2.837 -2.277 9.218
Sm 2.837 -2.295 2.989
Th 2.837 4.050 0.690
Th 2.837 -4.050 5.984
```

* DFT formation energy: 15.8 kJ/mol of atoms

---

14.
Density functional theory data (PBE) for LaTb4Sm2Th after structural relaxation.

extended XYZ file:
```
8
Lattice="6.272 0.000 0.000 0.000 3.619 0.000 -0.003 0.000 11.608" Properties=species:S:1:pos:R:3 pbc="T T T"
La 0.000 0.000 0.000
Tb 1.075 1.809 2.933
Tb 2.102 0.000 8.640
Tb 4.168 0.000 2.968
Tb 5.194 1.809 8.676
Sm -0.002 0.000 5.804
Sm 3.136 1.809 0.000
Th 3.135 1.809 5.804
```

* DFT formation energy: 0.6 kJ/mol of atoms

---

15.
Density functional theory data (PBE) for La2Tb4SmTh after structural relaxation.

extended XYZ file:
```
8
Lattice="5.163 0.000 0.000 0.000 5.163 0.000 0.000 0.000 10.036" Properties=species:S:1:pos:R:3 pbc="T T T"
La 0.000 0.000 0.000
La 2.581 2.581 5.018
Tb 0.000 2.581 2.452
Tb 0.000 2.581 7.584
Tb 2.581 0.000 2.452
Tb 2.581 0.000 7.584
Sm 0.000 0.000 5.018
Th 2.581 2.581 0.000
```

* DFT formation energy: 3.0 kJ/mol of atoms

---

16.
Density functional theory data (PBE) for LaTb2Sm4Th after structural relaxation.

extended XYZ file:
```
8
Lattice="6.279 0.000 0.000 0.000 3.640 0.000 -0.004 0.000 11.729" Properties=species:S:1:pos:R:3 pbc="T T T"
La 0.000 0.000 0.000
Tb -0.002 0.000 5.864
Tb 3.139 1.820 0.000
Sm 1.058 1.820 8.759
Sm 2.111 0.000 2.990
Sm 4.164 0.000 8.739
Sm 5.216 1.820 2.970
Th 3.137 1.820 5.864
```

* DFT formation energy: 1.2 kJ/mol of atoms

---

17.
Density functional theory data (PBE) for LaTbSm2Th after structural relaxation.

extended XYZ file:
```
10
Lattice="8.669 0.000 0.000 0.000 6.481 0.000 -1.057 0.000 6.347" Properties=species:S:1:pos:R:3 pbc="T T T"
La 0.000 0.000 0.000
La -0.528 0.000 3.173
Tb 4.070 1.099 1.587
Tb 3.542 5.382 4.760
Sm 1.999 2.054 4.419
Sm 2.527 4.426 1.246
Sm 5.085 2.054 5.101
Sm 5.613 4.426 1.928
Th -0.264 2.937 1.587
Th -0.793 3.543 4.760
```

* DFT formation energy: 29.1 kJ/mol of atoms

---

18.
Density functional theory data (PBE) for LaTbSm2Tl2 after structural relaxation.

extended XYZ file:
```
12
Lattice="5.245 0.000 0.000 0.000 10.264 0.000 0.000 0.000 6.904" Properties=species:S:1:pos:R:3 pbc="T T T"
La 0.000 0.450 0.000
La 0.000 9.814 3.452
Tb 2.623 1.969 5.008
Tb 2.623 8.296 1.557
Sm 0.000 3.275 2.589
Sm 0.000 6.989 6.041
Sm 2.623 4.666 0.666
Sm 2.623 5.599 4.117
Tl 0.000 3.730 5.804
Tl 0.000 6.535 2.352
Tl 2.623 1.393 1.837
Tl 2.623 8.871 5.289
```

* DFT formation energy: -26.3 kJ/mol of atoms

---

19.
Density functional theory data (PBE) for LaTbSm2Tl4 after structural relaxation.

extended XYZ file:
```
8
Lattice="2.744 1.584 8.989 -2.744 1.584 8.989 0.000 -3.168 8.989" Properties=species:S:1:pos:R:3 pbc="T T T"
La 0.000 0.000 0.000
Tb 0.000 0.000 13.483
Sm 0.000 0.000 6.724
Sm 0.000 0.000 20.242
Tl 0.000 0.000 3.423
Tl 0.000 0.000 10.171
Tl 0.000 0.000 16.796
Tl 0.000 0.000 23.544
```

* DFT formation energy: -36.2 kJ/mol of atoms

---

20.
Density functional theory data (PBE) for La3Tb2Sm6Tl after structural relaxation.

extended XYZ file:
```
12
Lattice="3.125 -5.430 0.000 3.125 5.430 0.000 -2.131 0.000 11.711" Properties=species:S:1:pos:R:3 pbc="T T T"
La 0.000 0.000 0.000
La 3.125 1.848 0.000
La 3.125 -1.848 0.000
Tb 2.060 3.630 5.855
Tb 2.060 -3.630 5.855
Sm 1.061 1.771 3.020
Sm -0.003 0.000 8.718
Sm 1.061 -1.771 3.020
Sm 3.059 1.771 8.691
Sm 4.123 0.000 2.993
Sm 3.059 -1.771 8.691
Tl 2.060 0.000 5.855
```

* DFT formation energy: -1.1 kJ/mol of atoms